# KYGe

An optimized crystal structure of KYGe (PBE-GGA, Alexandria via LeMat-Bulk).

For the final energy, the calculation gives -4.25 eV/atom. As for the density: 3.04 g cm⁻³. The energy above the most stable polymorph in this dataset is 196 meV/atom. The calculation puts the calculated formation energy at -185 meV per atom.

The structure belongs to space group Pmm2 (No. 25); the cell edges are 4.304, 6.590 and 3.867 Å and the angles 90.00°, 90.00° and 90.00°. Symmetry generates all atoms from K at (0.000, 0.000, 0.000), Y at (0.500, 0.500, 0.013) and Ge at (0.000, 0.500, 0.512).